## PrAgPb (PBE)

Data for PrAgPb after structural relaxation.

Geometry as POSCAR:
```
PrAgPb
1.0
4.9134 0.0000 0.0000
-2.4567 4.2552 0.0000
0.0000 0.0000 7.6815
Pr Ag Pb
2 2 2
direct
0.0000 0.0000 0.0000
0.0000 0.0000 0.5000
0.3333 0.6667 0.3039
0.6667 0.3333 0.8039
0.3333 0.6667 0.7208
0.6667 0.3333 0.2208
```

Summary:
The raw total energy comes out at -0.1557 Ha/atom. The volume comes out at 26.8 Å³ per atom. The space group is P6_3mc (186).